1.
LaV2Br: relaxed, PBE.

Values from the calculation:
- total magnetic moment (μB/atom) = 0.00
- E (eV per cell) = -39.40
- distance to the lowest polymorph of the same formula (meV/atom) = 444.6
- raw formation energy (eV/atom) = 1.285
- space group = I-42d
- DOS at the Fermi energy (states/eV per cell) = 7.71

Unit cell a=6.8076 b=6.8076 c=6.8076 alpha=129.92 beta=129.92 gamma=73.54
Closest atoms and distances in Å follow each position.
Atoms (fractional coordinates):
1 La 0.0000 0.0000 0.0000  4 V 2.43
2 La 0.7500 0.2500 0.5000  4 V 2.43
3 V 0.1190 0.6250 0.9940  2 La 2.43, 2 Br 2.47
4 V 0.3750 0.3690 0.4940  2 La 2.43, 2 Br 2.47
5 V 0.6310 0.1250 0.0060  2 La 2.43, 2 Br 2.47
6 V 0.8750 0.8810 0.5060  2 La 2.43, 2 Br 2.47
7 Br 0.2500 0.7500 0.5000  4 V 2.47
8 Br 0.5000 0.5000 0.0000  4 V 2.47

2.
LaVBr2: relaxed, PBE.

Values from the calculation:
- total magnetic moment (μB/atom) = 1.36
- E (eV per cell) = -18.77
- distance to the lowest polymorph of the same formula (meV/atom) = 159.2
- raw formation energy (eV/atom) = -0.346
- space group = Fm-3m
- DOS at the Fermi energy (states/eV per cell) = 5.69

Unit cell a=5.2475 b=5.2475 c=5.2475 alpha=60.00 beta=60.00 gamma=60.00
Closest atoms and distances in Å follow each position.
Atoms (fractional coordinates):
1 La 0.0000 0.0000 0.0000  8 Br 3.21
2 V 0.5000 0.5000 0.5000  8 Br 3.21
3 Br 0.2500 0.2500 0.2500  4 V 3.21, 4 La 3.21
4 Br 0.7500 0.7500 0.7500  4 La 3.21, 4 V 3.21

3.
La3VBr: relaxed, PBE.

Values from the calculation:
- total magnetic moment (μB/atom) = 0.00
- E (eV per cell) = -25.40
- distance to the lowest polymorph of the same formula (meV/atom) = 0.0
- raw formation energy (eV/atom) = 0.035
- space group = Pm-3m
- DOS at the Fermi energy (states/eV per cell) = 5.24

Unit cell a=5.4741 b=5.4741 c=5.4741 alpha=90.00 beta=90.00 gamma=90.00
Closest atoms and distances in Å follow each position.
Atoms (fractional coordinates):
1 La 0.0000 0.0000 0.5000  2 V 2.74
2 La 0.0000 0.5000 0.0000  2 V 2.74
3 La 0.5000 0.0000 0.0000  2 V 2.74
4 V 0.0000 0.0000 0.0000  6 La 2.74
5 Br 0.5000 0.5000 0.5000  12 La 3.87

4.
LaV2Br: relaxed, PBE.

Values from the calculation:
- total magnetic moment (μB/atom) = 0.00
- E (eV per cell) = -21.48
- distance to the lowest polymorph of the same formula (meV/atom) = 0.0
- raw formation energy (eV/atom) = 0.840
- space group = Fm-3m
- DOS at the Fermi energy (states/eV per cell) = 4.93

Unit cell a=4.7035 b=4.7035 c=4.7035 alpha=60.00 beta=60.00 gamma=60.00
Closest atoms and distances in Å follow each position.
Atoms (fractional coordinates):
1 La 0.0000 0.0000 0.0000  8 V 2.88
2 V 0.2500 0.2500 0.2500  4 Br 2.88, 4 La 2.88
3 V 0.7500 0.7500 0.7500  4 Br 2.88, 4 La 2.88
4 Br 0.5000 0.5000 0.5000  8 V 2.88

5.
LaWBr2: relaxed, PBE.

Values from the calculation:
- total magnetic moment (μB/atom) = 0.98
- E (eV per cell) = -19.83
- distance to the lowest polymorph of the same formula (meV/atom) = 506.6
- raw formation energy (eV/atom) = 0.349
- space group = I4/mmm
- DOS at the Fermi energy (states/eV per cell) = 4.96

Unit cell a=5.5196 b=5.5196 c=5.5196 alpha=127.69 beta=127.69 gamma=77.13
Closest atoms and distances in Å follow each position.
Atoms (fractional coordinates):
1 La 0.0000 0.0000 0.0000  8 Br 3.25, 4 W 3.44
2 W 0.5000 0.5000 0.0000  8 Br 3.25, 4 La 3.44
3 Br 0.2500 0.7500 0.5000  4 La 3.25, 4 W 3.25, 4 Br 3.44
4 Br 0.7500 0.2500 0.5000  4 La 3.25, 4 W 3.25, 4 Br 3.44

6.
LaWBr2: relaxed, PBE.

Values from the calculation:
- total magnetic moment (μB/atom) = 0.00
- E (eV per cell) = -21.85
- distance to the lowest polymorph of the same formula (meV/atom) = 0.0
- raw formation energy (eV/atom) = -0.157
- space group = Immm
- DOS at the Fermi energy (states/eV per cell) = 3.34

Unit cell a=7.3640 b=7.3640 c=7.3640 alpha=152.19 beta=140.74 gamma=48.79
Closest atoms and distances in Å follow each position.
Atoms (fractional coordinates):
1 La 0.0000 0.0000 0.0000  4 W 3.04, 4 Br 3.18
2 W 0.5000 0.5000 0.0000  4 Br 2.67
3 Br 0.3506 0.8506 0.5000  2 W 2.67
4 Br 0.6494 0.1494 0.5000  2 W 2.67